No. 1
# Al2MoAu, relaxed, DFT PBE
data_Al2MoAu
_chemical_formula_sum 'Al2 Mo1 Au1'
_space_group_name_H-M_alt 'P 1'
_space_group_IT_number 1
_space_group_name_Hall 'P 1'
_cell_length_a 4.426
_cell_length_b 4.426
_cell_length_c 4.426
_cell_angle_alpha 60.00
_cell_angle_beta 60.00
_cell_angle_gamma 60.00
loop_
_atom_site_label
_atom_site_type_symbol
_atom_site_fract_x
_atom_site_fract_y
_atom_site_fract_z
Al1 Al 0.250 0.250 0.250
Al2 Al 0.750 0.750 0.750
Mo1 Mo 0.000 0.000 0.000
Au1 Au 0.500 0.500 0.500
# Excess energy over the best structure of this formula in the dataset, eV per atom: 0.159

No. 2
Crystalline Al4MoAu at its relaxed geometry. Source: Alexandria, functional PBE.

Geometry as CIF:
```
data_Al4MoAu
_chemical_formula_sum 'Al4 Mo1 Au1'
_space_group_name_H-M_alt 'P 1'
_space_group_IT_number 1
_space_group_name_Hall 'P 1'
_cell_length_a 5.121
_cell_length_b 5.121
_cell_length_c 5.121
_cell_angle_alpha 60.00
_cell_angle_beta 60.00
_cell_angle_gamma 60.00
loop_
_atom_site_label
_atom_site_type_symbol
_atom_site_fract_x
_atom_site_fract_y
_atom_site_fract_z
Al1 Al 0.125 0.125 0.125
Al2 Al 0.125 0.125 0.625
Al3 Al 0.125 0.625 0.125
Al4 Al 0.625 0.125 0.125
Mo1 Mo 0.750 0.750 0.750
Au1 Au 0.500 0.500 0.500
```

no.,formation energy from the elements (eV/atom)
1,-0.141
2,0.106